# 1
The following is a DFT calculation (GGA-PBE) of an optimized crystal structure of GdCoN.

The value obtained for the total magnetic moment is 6.86 Bohr magnetons per cell. The total energy comes out at -10.208 eV per atom. The density of states at the Fermi level is 2.5 states/eV/f.u. The space group is No. 156.

Structure (POSCAR):
```
GdCoN
1.0
-0.661 -0.809 -3.589
3.420 -0.638 -0.486
-2.150 -2.600 0.982
Gd N Co
1 1 1
Direct
0.668 0.667 0.333
0.165 0.000 0.000
0.167 0.333 0.667
```

# 2
The following is a DFT calculation (GGA-PBE) of an optimized crystal structure of CsAlIn.

The value obtained for the total magnetic moment is 0.00 Bohr magnetons per cell. The value obtained for the formation energy is 17 kJ/mol of formula units. The density of states at the Fermi level is 1.3 states/eV/f.u. The space group is No. 12.

Structure (POSCAR):
```
CsAlIn
1.0
4.978 0.000 -0.001
0.000 4.978 0.000
-4.948 0.000 18.452
In Cs Al
4 4 4
Direct
0.000 0.500 0.000
0.500 0.000 0.000
0.000 0.000 0.500
0.500 0.500 0.500
0.829 0.000 0.828
0.171 0.000 0.172
0.171 0.500 0.672
0.829 0.500 0.328
0.417 0.000 0.417
0.583 0.500 0.083
0.417 0.500 0.917
0.583 0.000 0.583
```

# 3
The following is a DFT calculation (GGA-PBE) of an optimized crystal structure of MnBiBr3.

The value obtained for the total magnetic moment is 4.80 Bohr magnetons per cell. The total energy comes out at -3.780 eV per atom. The density of states at the Fermi level is 3.3 states/eV/f.u. The space group is No. 221.

Structure (POSCAR):
```
MnBiBr3
1.0
5.243 0.000 0.000
0.000 5.243 0.000
0.000 0.000 5.243
Br Bi Mn
3 1 1
Direct
0.000 0.000 0.500
0.000 0.500 0.000
0.500 0.000 0.000
0.500 0.500 0.500
0.000 0.000 0.000
```

> What is the total magnetic moment in the second record?

0.00 Bohr magnetons per cell